# Sc2PaCrO8

A relaxed structure of Sc2PaCrO8 (PBE+U, Alexandria via LeMat-Bulk).

Unit cell a=4.798 b=6.492 c=4.801 alpha=90.00 beta=90.29 gamma=90.00
Element x y z (fractional)
Sc (0.000, 0.243, 0.000)
Sc (0.000, 0.757, 0.000)
Pa (0.500, 0.500, 0.500)
Cr (0.500, 0.000, 0.500)
O (0.188, 0.500, 0.186)
O (0.228, 0.000, 0.227)
O (0.307, 0.225, 0.692)
O (0.307, 0.775, 0.692)
O (0.693, 0.225, 0.308)
O (0.693, 0.775, 0.308)
O (0.772, 0.000, 0.773)
O (0.812, 0.500, 0.814)

- Electronic total energy: -103.1 eV for the cell shown
- Density of states at the Fermi level: 0.0 states/eV/cell